A) # MnInP2O PBE+U relaxed
# Fermi-level density of states	0.61	states/eV/atom
data_MnInP2O
_chemical_formula_sum 'Mn1 In1 P2 O1'
_space_group_name_H-M_alt 'P 4/m m m'
_space_group_IT_number 123
_space_group_name_Hall '-P 4 2'
_cell_length_a 4.919
_cell_length_b 4.919
_cell_length_c 3.630
_cell_angle_alpha 90.00
_cell_angle_beta 90.00
_cell_angle_gamma 90.00
loop_
_atom_site_label
_atom_site_fract_x
_atom_site_fract_y
_atom_site_fract_z
Mn1 0.000 0.000 0.000
In1 0.500 0.500 0.500
P1 0.000 0.500 0.000
O1 0.000 0.000 0.500


B) # MnInP2O PBE+U relaxed
# Fermi-level density of states	0.99	states/eV/atom
data_MnInP2O
_chemical_formula_sum 'Mn1 In1 P2 O1'
_space_group_name_H-M_alt 'P 4/m m m'
_space_group_IT_number 123
_space_group_name_Hall '-P 4 2'
_cell_length_a 5.153
_cell_length_b 5.153
_cell_length_c 4.015
_cell_angle_alpha 90.00
_cell_angle_beta 90.00
_cell_angle_gamma 90.00
loop_
_atom_site_label
_atom_site_fract_x
_atom_site_fract_y
_atom_site_fract_z
Mn1 0.000 0.000 0.000
In1 0.500 0.500 0.500
P1 0.000 0.500 0.500
O1 0.500 0.500 0.000


Stability check: which of them is most stable? A).


A) # Mn2InSbO6 PBE+U relaxed
# Fermi-level density of states	0.09	states/eV/atom
data_Mn2InSbO6
_chemical_formula_sum 'Mn6 In3 Sb3 O18'
_space_group_name_H-M_alt 'R 3'
_space_group_IT_number 146
_space_group_name_Hall 'R 3'
_cell_length_a 5.4705
_cell_length_b 5.4705
_cell_length_c 14.3553
_cell_angle_alpha 90.00
_cell_angle_beta 90.00
_cell_angle_gamma 120.00
loop_
_atom_site_label
_atom_site_fract_x
_atom_site_fract_y
_atom_site_fract_z
Mn1 0.0000 0.0000 0.0000
Mn2 0.0000 0.0000 0.4949
In1 0.0000 0.0000 0.2168
Sb1 0.0000 0.0000 0.7090
O1 0.0399 0.3382 0.7777
O2 0.0526 0.6781 0.2835


B) # Mn2InSbO6 PBE+U relaxed
# Fermi-level density of states	0.00	states/eV/atom
data_Mn2InSbO6
_chemical_formula_sum 'Mn4 In2 Sb2 O12'
_space_group_name_H-M_alt 'P 1'
_space_group_IT_number 1
_cell_length_a 6.347
_cell_length_b 6.392
_cell_length_c 6.392
_cell_angle_alpha 90.74
_cell_angle_beta 90.63
_cell_angle_gamma 90.56
loop_
_space_group_symop_operation_xyz
'x,y,z'
loop_
_atom_site_label
_atom_site_fract_x
_atom_site_fract_y
_atom_site_fract_z
Mn1 0.000 0.000 0.000
Mn2 0.121 0.495 0.092
Mn3 0.307 0.798 0.621
Mn4 0.617 0.308 0.804
In1 0.500 0.183 0.302
In2 0.813 0.692 0.486
Sb1 0.061 0.247 0.552
Sb2 0.559 0.746 0.050
O1 0.125 0.547 0.484
O2 0.143 0.181 0.252
O3 0.260 0.790 0.963
O4 0.363 0.173 0.618
O5 0.469 0.447 0.093
O6 0.517 0.834 0.356
O7 0.607 0.655 0.751
O8 0.646 0.048 0.017
O9 0.759 0.328 0.476
O10 0.859 0.702 0.143
O11 0.981 0.309 0.848
O12 0.989 0.948 0.622


Stability check: which of them is most stable? B).